# 1
First-principles (PBE) data for an optimized crystal structure of Cu3Ag2Pd5, as listed in the Alexandria database.

Cell: 5.2454 8.3974 8.3974 Å, 93.12 71.80 71.80°
With the nearest neighbours (Å) after each atom.
Element x y z (fractional)
Cu1 0.3605 0.4951 0.7838  5 Pd 2.45-2.62, 2 Ag 2.71
Cu2 0.8605 0.7838 0.4951  5 Pd 2.45-2.62, 2 Ag 2.71
Cu3 0.6395 0.5049 0.2162  5 Pd 2.45-2.62, 2 Ag 2.71
Cu4 0.1395 0.2162 0.5049  5 Pd 2.45-2.62, 2 Ag 2.71
Cu5 0.2500 0.0000 0.0000  6 Pd 2.44-2.51, 2 Cu 2.62
Cu6 0.7500 0.0000 0.0000  6 Pd 2.44-2.51, 2 Cu 2.62
Ag1 0.1390 0.5621 0.1600  4 Cu 2.71-2.96, 2 Pd 2.85-2.89
Ag2 0.6390 0.1600 0.5621  4 Cu 2.71-2.96, 2 Pd 2.85-2.89
Ag3 0.8610 0.4379 0.8400  4 Cu 2.71-2.96, 2 Pd 2.85-2.89
Ag4 0.3610 0.8400 0.4379  4 Cu 2.71-2.96, 2 Pd 2.85-2.89
Pd1 0.4160 0.2445 0.9234  3 Cu 2.45-2.51
Pd2 0.9160 0.9234 0.2445  3 Cu 2.45-2.51
Pd3 0.5840 0.7555 0.0766  3 Cu 2.45-2.51
Pd4 0.0840 0.0766 0.7555  3 Cu 2.45-2.51
Pd5 0.4876 0.7624 0.7624  3 Cu 2.44-2.53, 3 Pd 2.62-2.70
Pd6 0.5124 0.2376 0.2376  3 Cu 2.44-2.53, 3 Pd 2.62-2.70
Pd7 0.7500 0.5000 0.5000  4 Pd 2.62-2.70, 4 Cu 2.62
Pd8 0.2500 0.5000 0.5000  4 Pd 2.62-2.70, 4 Cu 2.62
Pd9 0.0124 0.2376 0.2376  3 Cu 2.44-2.53, 3 Pd 2.62-2.70
Pd10 0.9876 0.7624 0.7624  3 Cu 2.44-2.53, 3 Pd 2.62-2.70

space group: No. 72
DFT formation energy: 0.1926 eV/atom



# 2
First-principles (PBE) data for an optimized crystal structure of BaSrCdIr, as listed in the Alexandria database.

Cell: 4.7259 4.6686 11.6654 Å, 90.00 90.00 90.00°
With the nearest neighbours (Å) after each atom.
Element x y z (fractional)
Sr1 0.0000 0.0000 0.3925  3 Cd 3.27-3.54, 4 Ir 3.43
Sr2 0.0000 0.5000 0.8925  3 Cd 3.27-3.54, 4 Ir 3.43
Ir1 0.5000 0.0000 0.9657  2 Cd 2.76
Ir2 0.5000 0.5000 0.4657  2 Cd 2.76
Ba1 0.5000 0.0000 0.6773  3 Ir 3.36-3.40, 4 Cd 3.48
Ba2 0.5000 0.5000 0.1773  3 Ir 3.36-3.40, 4 Cd 3.48
Cd1 0.0000 0.0000 0.0886  2 Ir 2.76
Cd2 0.0000 0.5000 0.5886  2 Ir 2.76

space group: No. 38
DFT formation energy: -0.1455 eV/atom



# 3
First-principles (PBE) data for an optimized crystal structure of TbPr4Y6, as listed in the Alexandria database.

Cell: 3.6180 11.0522 11.0522 Å, 120.00 90.00 90.00°
With the nearest neighbours (Å) after each atom.
Element x y z (fractional)
Tb1 0.0000 0.0000 0.0000  6 Pr 3.56, 2 Tb 3.62, 6 Y 3.94
Pr1 0.5000 0.8398 0.6796  6 Y 3.31-3.59, 2 Tb 3.56, 2 Pr 3.62
Pr2 0.5000 0.3204 0.1602  6 Y 3.31-3.59, 2 Tb 3.56, 2 Pr 3.62
Pr3 0.5000 0.8398 0.1602  6 Y 3.31-3.59, 2 Tb 3.56, 2 Pr 3.62
Pr4 0.0000 0.3333 0.6667  9 Y 3.40-3.55, 2 Pr 3.62
Y1 0.0000 0.5187 0.0374  5 Pr 3.55-3.59, 6 Y 3.62-3.73
Y2 0.5000 0.6339 0.8170  4 Pr 3.31-3.40, 2 Y 3.62
Y3 0.0000 0.5187 0.4813  5 Pr 3.55-3.59, 6 Y 3.62-3.73
Y4 0.0000 0.9626 0.4813  5 Pr 3.55-3.59, 6 Y 3.62-3.73
Y5 0.5000 0.1830 0.8170  4 Pr 3.31-3.40, 2 Y 3.62
Y6 0.5000 0.1830 0.3661  4 Pr 3.31-3.40, 2 Y 3.62

space group: No. 187
DFT formation energy: 0.1644 eV/atom



# 4
First-principles (PBE) data for an optimized crystal structure of BaTc2Ru2, as listed in the Alexandria database.

Cell: 4.4927 4.4927 5.9018 Å, 67.63 67.63 90.00°
With the nearest neighbours (Å) after each atom.
Element x y z (fractional)
Ru1 0.7500 0.2500 0.5000  4 Tc 2.56
Ru2 0.2500 0.7500 0.5000  4 Tc 2.56
Ba1 0.0000 0.0000 0.0000  8 Ru 3.35, 10 Tc 3.42-3.71
Tc1 0.3726 0.3726 0.2548  1 Tc 2.53, 4 Ru 2.56
Tc2 0.6274 0.6274 0.7452  1 Tc 2.53, 4 Ru 2.56

space group: No. 139
DFT formation energy: 0.4615 eV/atom



# 5
First-principles (PBE) data for an optimized crystal structure of K4ZrSc3S8, as listed in the Alexandria database.

Cell: 7.6433 8.5584 7.6435 Å, 116.53 120.00 90.00°
With the nearest neighbours (Å) after each atom.
Element x y z (fractional)
K1 0.5000 0.0000 0.0000  6 S 3.14
K2 0.5000 0.0000 0.5000  6 S 3.14-3.15
K3 0.0000 0.0000 0.0000  6 S 3.14-3.15
K4 0.0000 0.0000 0.5000  6 S 3.14-3.15
Zr1 0.0000 0.5000 0.0000  6 S 2.63
Sc1 0.5000 0.5000 0.0000  6 S 2.62-2.63
Sc2 0.5000 0.5000 0.5000  6 S 2.62-2.63
Sc3 0.0000 0.5000 0.5000  6 S 2.62-2.63
S1 0.2315 0.6957 0.9643  1 Zr 2.63, 2 Sc 2.63
S2 0.2315 0.6957 0.4630  1 Zr 2.63, 2 Sc 2.63
S3 0.2690 0.3070 0.5379  3 Sc 2.62
S4 0.7328 0.6957 0.9643  1 Zr 2.63, 2 Sc 2.63
S5 0.2672 0.3043 0.0357  1 Zr 2.63, 2 Sc 2.63
S6 0.7310 0.6930 0.4621  3 Sc 2.62
S7 0.7685 0.3043 0.5370  1 Zr 2.63, 2 Sc 2.63
S8 0.7685 0.3043 0.0357  1 Zr 2.63, 2 Sc 2.63

space group: No. 166
raw formation energy: -162.60 kJ/mol of atoms



# 6
First-principles (PBE) data for an optimized crystal structure of Ba6As2IN, as listed in the Alexandria database.

Cell: 7.6511 8.7935 11.5026 Å, 90.00 90.37 90.00°
With the nearest neighbours (Å) after each atom.
Element x y z (fractional)
Ba1 0.2948 0.6534 0.0774  1 N 2.77
Ba2 0.7948 0.8466 0.5774  1 N 2.77
Ba3 0.7052 0.3466 0.9226  1 N 2.77
Ba4 0.2052 0.1534 0.4226  1 N 2.77
Ba5 0.3616 0.7152 0.4273  1 N 2.84
Ba6 0.8616 0.7848 0.9273  1 N 2.84
Ba7 0.6384 0.2848 0.5727  1 N 2.84
Ba8 0.1384 0.2152 0.0727  1 N 2.84
Ba9 0.8466 0.5446 0.2205  1 N 2.83
Ba10 0.3466 0.9554 0.7205  1 N 2.83
Ba11 0.1534 0.4554 0.7795  1 N 2.83
Ba12 0.6534 0.0446 0.2795  1 N 2.83
As1 0.0571 0.8841 0.2453  6 Ba 3.32-3.58
As2 0.5571 0.6159 0.7453  6 Ba 3.32-3.58
As3 0.9429 0.1159 0.7547  6 Ba 3.32-3.58
As4 0.4429 0.3841 0.2547  6 Ba 3.32-3.58
I1 0.5000 0.0000 0.0000  6 Ba 3.44-3.54
I2 0.0000 0.5000 0.5000  6 Ba 3.44-3.54
N1 0.5000 0.0000 0.5000  6 Ba 2.77-2.84
N2 0.0000 0.5000 0.0000  6 Ba 2.77-2.84

space group: No. 14
raw formation energy: -84.80 kJ/mol of atoms



# 7
First-principles (PBE) data for an optimized crystal structure of Y2MgNi9, as listed in the Alexandria database.

Cell: 4.9298 4.9298 8.5498 Å, 73.24 73.24 60.00°
With the nearest neighbours (Å) after each atom.
Element x y z (fractional)
Y1 0.8640 0.8640 0.4081  9 Ni 2.80-2.94
Y2 0.1360 0.1360 0.5919  9 Ni 2.80-2.94
Mg1 0.0000 0.0000 0.0000  18 Ni 2.85-3.15
Ni1 0.6671 0.6671 0.9988  6 Ni 2.41-2.43
Ni2 0.3329 0.3329 0.0012  6 Ni 2.41-2.43
Ni3 0.5000 0.5000 0.5000  6 Ni 2.51
Ni4 0.4186 0.4186 0.2431  7 Ni 2.41-2.51
Ni5 0.9197 0.4186 0.2431  7 Ni 2.41-2.51
Ni6 0.4186 0.9197 0.2431  7 Ni 2.41-2.51
Ni7 0.5814 0.5814 0.7569  7 Ni 2.41-2.51
Ni8 0.5814 0.0803 0.7569  7 Ni 2.41-2.51
Ni9 0.0803 0.5814 0.7569  7 Ni 2.41-2.51

space group: No. 166
DFT formation energy: -0.2730 eV/atom



# 8
First-principles (PBE) data for an optimized crystal structure of As2IrPt, as listed in the Alexandria database.

Cell: 4.5924 4.5924 3.0675 Å, 90.00 90.00 89.62°
With the nearest neighbours (Å) after each atom.
Element x y z (fractional)
As1 0.0000 0.0000 0.0000  4 Ir 2.76, 4 Pt 2.76, 2 As 3.07
As2 0.5000 0.5000 0.0000  4 Pt 2.76, 4 Ir 2.76, 2 As 3.07
Ir1 0.5000 0.0000 0.5000  8 As 2.76, 2 Ir 3.07
Pt1 0.0000 0.5000 0.5000  8 As 2.76, 2 Pt 3.07

space group: No. 65
DFT formation energy: 0.1356 eV/atom



# 9
First-principles (PBE) data for an optimized crystal structure of La4PPtBr2, as listed in the Alexandria database.

Cell: 4.1752 7.6547 7.7530 Å, 108.02 90.00 90.00°
With the nearest neighbours (Å) after each atom.
Element x y z (fractional)
La1 0.5000 0.2294 0.2177  2 P 2.91, 1 Pt 3.05, 1 Br 3.20
La2 0.5000 0.7706 0.7823  2 P 2.91, 1 Pt 3.05, 1 Br 3.20
La3 0.0000 0.2686 0.7906  2 Pt 2.89, 1 P 2.99
La4 0.0000 0.7314 0.2094  2 Pt 2.89, 1 P 2.99
P1 0.0000 0.0000 0.0000  6 La 2.91-2.99
Pt1 0.5000 0.5000 0.0000  6 La 2.89-3.05
Br1 0.5000 0.0000 0.5000  6 La 3.20-3.29
Br2 0.0000 0.5000 0.5000  6 La 3.26-3.27

space group: No. 10
raw formation energy: -137.70 kJ/mol of atoms



# 10
First-principles (PBE) data for an optimized crystal structure of KY3Hg, as listed in the Alexandria database.

Cell: 5.4441 5.4441 5.4441 Å, 90.00 90.00 90.00°
With the nearest neighbours (Å) after each atom.
Element x y z (fractional)
Y1 0.0000 0.5000 0.0000  2 K 2.72
Y2 0.0000 0.0000 0.5000  2 K 2.72
Y3 0.5000 0.0000 0.0000  2 K 2.72
K1 0.0000 0.0000 0.0000  6 Y 2.72
Hg1 0.5000 0.5000 0.5000  12 Y 3.85

space group: No. 221
DFT formation energy: 1.1822 eV/atom



# 11
First-principles (PBE) data for an optimized crystal structure of CdRu2F, as listed in the Alexandria database.

Cell: 4.4622 4.4622 4.4622 Å, 60.00 60.00 60.00°
With the nearest neighbours (Å) after each atom.
Element x y z (fractional)
Ru1 0.2500 0.2500 0.2500  4 Cd 2.73, 4 F 2.73
Ru2 0.7500 0.7500 0.7500  4 Cd 2.73, 4 F 2.73
F1 0.0000 0.0000 0.0000  8 Ru 2.73
Cd1 0.5000 0.5000 0.5000  8 Ru 2.73

space group: No. 225
raw formation energy: 62.19 kJ/mol of atoms



# 12
First-principles (PBE) data for an optimized crystal structure of Sm2ErTmSe6, as listed in the Alexandria database.

Cell: 7.2570 7.2570 7.7151 Å, 61.94 61.94 60.00°
With the nearest neighbours (Å) after each atom.
Element x y z (fractional)
Sm1 0.5181 0.5181 0.4459  6 Se 2.90-2.98
Sm2 0.0177 0.0177 0.9469  6 Se 2.90-2.98
Er1 0.8193 0.8193 0.5421  6 Se 2.82-2.88
Tm1 0.3197 0.3196 0.0409  6 Se 2.81-2.86
Se1 0.6020 0.2087 0.2563  1 Tm 2.81, 1 Er 2.88, 2 Sm 2.90-2.98
Se2 0.2086 0.9330 0.2563  1 Tm 2.81, 1 Er 2.88, 2 Sm 2.90-2.98
Se3 0.9330 0.6020 0.2563  1 Tm 2.81, 1 Er 2.88, 2 Sm 2.90-2.98
Se4 0.4313 0.7081 0.7568  1 Er 2.82, 1 Tm 2.86, 2 Sm 2.90-2.98
Se5 0.7081 0.1037 0.7568  1 Er 2.82, 1 Tm 2.86, 2 Sm 2.90-2.98
Se6 0.1037 0.4314 0.7568  1 Er 2.82, 1 Tm 2.86, 2 Sm 2.90-2.98

space group: No. 146
raw formation energy: -177.74 kJ/mol of atoms